(1)
# BaZn2Cd GGA-PBE relaxed
# M_tot in μB/atom: 0.000
# Energy of formation from the pure elements in eV per atom: -0.1232
data_BaZn2Cd
_chemical_formula_sum 'Ba1 Zn2 Cd1'
_cell_length_a 4.0209
_cell_length_b 4.3551
_cell_length_c 6.6311
_cell_angle_alpha 90.00
_cell_angle_beta 107.53
_cell_angle_gamma 90.00
_space_group_name_H-M_alt 'P 1 m 1'
_space_group_IT_number 6
_space_group_name_Hall 'P -2y'
loop_
_atom_site_label
_atom_site_fract_x
_atom_site_fract_y
_atom_site_fract_z
_atom_site_occupancy
Ba1 0.0000 0.0000 0.0000 1
Zn1 0.2662 0.0000 0.5310 1
Zn2 0.3665 0.5000 0.7307 1
Cd1 0.6973 0.5000 0.3945 1

---

(2)
# AsPt5 GGA-PBE relaxed
# M_tot in μB/atom: 0.000
# Energy of formation from the pure elements in eV per atom: 0.0019
data_AsPt5
_chemical_formula_sum 'As1 Pt5'
_cell_length_a 2.8955
_cell_length_b 2.8955
_cell_length_c 11.4092
_cell_angle_alpha 90.00
_cell_angle_beta 90.00
_cell_angle_gamma 90.00
_space_group_name_H-M_alt 'P 4/m m m'
_space_group_IT_number 123
_space_group_name_Hall '-P 4 2'
loop_
_atom_site_label
_atom_site_fract_x
_atom_site_fract_y
_atom_site_fract_z
_atom_site_occupancy
As1 0.0000 0.0000 0.0000 1
Pt1 0.0000 0.0000 0.3328 1
Pt2 0.5000 0.5000 0.1596 1
Pt3 0.5000 0.5000 0.5000 1